DFT (GGA-PBE) results for a relaxed Nb2NiAs crystal.

total magnetic moment	0.00	μB per formula unit
formation energy from the elements	-0.0302	eV/atom

a = 5.6316 Å, b = 5.6316 Å, c = 5.6316 Å
α = 104.27°, β = 104.27°, γ = 120.46°
Atoms (fractional coordinates):
Nb  0.1178  0.6250  0.9928
Nb  0.3750  0.3678  0.4928
Nb  0.6322  0.1250  0.0072
Nb  0.8750  0.8822  0.5072
Ni  0.0000  0.0000  0.0000
Ni  0.7500  0.2500  0.5000
As  0.2500  0.7500  0.5000
As  0.5000  0.5000  0.0000